## Sr3Np3OsN8 (PBE)

Data for a geometry-optimized Sr3Np3OsN8 structure.

Output
uncorrected energy	-8.861	eV per atom
symmetry	No. 166

Lattice parameters (Å, degrees): 6.7586 6.7590 7.1156 118.35 90.00 120.00
Last column: nearest neighbours and their distance in Å.
Positions (direct):
Sr 0.0000 0.0000 0.0000  6 N 2.63-2.70
Sr 0.0000 0.5000 0.0000  6 N 2.63-2.70
Sr 0.5000 0.5000 0.0000  6 N 2.63-2.70
Np 0.5000 0.0000 0.5000  6 N 2.24-2.30
Np 0.5000 0.5000 0.5000  6 N 2.24-2.30
Np 0.0000 0.5000 0.5000  6 N 2.24-2.30
Os 0.0000 0.0000 0.5000  6 N 2.24
N 0.2654 0.5307 0.2963  3 Np 2.30
N 0.7346 0.4693 0.7037  3 Np 2.30
N 0.7719 0.5438 0.3147  1 Os 2.24, 2 Np 2.24
N 0.2281 0.4562 0.6853  1 Os 2.24, 2 Np 2.24
N 0.7718 0.0427 0.3146  1 Os 2.24, 2 Np 2.24
N 0.2282 0.9573 0.6854  1 Os 2.24, 2 Np 2.24
N 0.2709 0.0427 0.3146  1 Os 2.24, 2 Np 2.24
N 0.7291 0.9573 0.6854  1 Os 2.24, 2 Np 2.24